P | The following is a PBE calculation of a relaxed structure of LaSnHgRh2, from Alexandria via LeMat-Bulk.

Cell: 4.915 5.981 4.915 Å, 90.00 90.00 90.00°
Atoms (fractional coordinates):
Rh 0.000 0.000 0.500
Rh 0.500 0.000 0.000
La 0.000 0.500 0.000
Hg 0.500 0.500 0.500
Sn 0.000 0.000 0.000

Calculated values
* Fermi-level density of states: 5.4 states/eV per cell
* size of the total moment: 0.0 μB per cell
* symmetry: P4/mmm

Q | The following is a PBE calculation of a relaxed structure of LaSnHgRh2, from Alexandria via LeMat-Bulk.

Cell: 4.918 5.964 4.918 Å, 90.00 90.00 90.00°
Atoms (fractional coordinates):
Rh 0.500 0.000 0.000
Rh 0.000 0.000 0.500
Sn 0.500 0.500 0.500
Hg 0.000 0.500 0.000
La 0.000 0.000 0.000

Calculated values
* Fermi-level density of states: 3.3 states/eV per cell
* size of the total moment: 0.0 μB per cell
* symmetry: P4/mmm

Stability ranking, top entry: P; the second entry is 156 meV per atom less favorable.

P | The following is a PBE calculation of a relaxed structure of LaTl2HgRh, from Alexandria via LeMat-Bulk.

Cell: 5.334 5.334 5.267 Å, 90.00 90.00 90.00°
Atoms (fractional coordinates):
Tl 0.000 0.500 0.000
Tl 0.500 0.000 0.000
Rh 0.000 0.000 0.000
La 0.000 0.000 0.500
Hg 0.500 0.500 0.500

Calculated values
* Fermi-level density of states: 2.9 states/eV per cell
* size of the total moment: 0.0 μB per cell
* symmetry: P4/mmm

Q | The following is a PBE calculation of a relaxed structure of LaTl2HgRh, from Alexandria via LeMat-Bulk.

Cell: 5.182 5.231 5.182 Å, 90.00 90.00 90.00°
Atoms (fractional coordinates):
Tl 0.500 0.000 0.000
Tl 0.000 0.000 0.500
Hg 0.000 0.500 0.000
Rh 0.000 0.000 0.000
La 0.500 0.500 0.500

Calculated values
* Fermi-level density of states: 3.0 states/eV per cell
* size of the total moment: 0.0 μB per cell
* symmetry: P4/mmm

Stability ranking, top entry: P; the second entry is 233 meV per atom less favorable.

P | The following is a PBE calculation of a relaxed structure of La2ZnHgRh, from Alexandria via LeMat-Bulk.

Cell: 4.318 7.723 8.159 Å, 109.12 90.00 90.00°
Atoms (fractional coordinates):
La 0.750 0.723 0.037
La 0.750 0.865 0.651
La 0.250 0.135 0.349
La 0.250 0.277 0.963
Rh 0.750 0.125 0.101
Rh 0.250 0.875 0.899
Zn 0.750 0.447 0.331
Zn 0.250 0.553 0.669
Hg 0.750 0.318 0.665
Hg 0.250 0.682 0.335

Calculated values
* Fermi-level density of states: 8.3 states/eV per cell
* size of the total moment: 0.0 μB per cell
* symmetry: P2_1/m

Q | The following is a PBE calculation of a relaxed structure of La2ZnHgRh, from Alexandria via LeMat-Bulk.

Cell: 5.452 5.452 4.915 Å, 90.00 90.00 90.00°
Atoms (fractional coordinates):
Rh 0.000 0.000 0.000
Zn 0.000 0.000 0.500
La 0.000 0.500 0.000
La 0.500 0.000 0.000
Hg 0.500 0.500 0.500

Calculated values
* Fermi-level density of states: 3.9 states/eV per cell
* size of the total moment: 0.0 μB per cell
* symmetry: P4/mmm

Stability ranking, top entry: P; the second entry is 112 meV per atom less favorable.

P | The following is a PBE calculation of a relaxed structure of La3HgRu, from Alexandria via LeMat-Bulk.

Cell: 6.105 6.105 6.105 Å, 85.80 85.80 85.80°
Atoms (fractional coordinates):
La 0.080 0.644 0.644
La 0.644 0.080 0.644
La 0.644 0.644 0.080
Hg 0.581 0.581 0.581
Ru 0.927 0.927 0.927

Calculated values
* Fermi-level density of states: 5.4 states/eV per cell
* size of the total moment: 0.0 μB per cell
* symmetry: R3m

Q | The following is a PBE calculation of a relaxed structure of La3HgRu, from Alexandria via LeMat-Bulk.

Cell: 6.527 8.055 6.290 Å, 76.07 87.37 103.34°
Atoms (fractional coordinates):
La 0.716 0.213 0.019
La 0.539 0.767 0.387
La 0.262 0.440 0.955
La 0.985 0.511 0.414
La 0.886 0.785 0.837
La 0.383 0.208 0.527
Hg 0.086 0.981 0.228
Hg 0.404 0.856 0.890
Ru 0.632 0.487 0.690
Ru 0.629 0.492 0.187

Calculated values
* Fermi-level density of states: 10.9 states/eV per cell
* size of the total moment: 0.0 μB per cell
* symmetry: P1

R | The following is a PBE calculation of a relaxed structure of La3HgRu, from Alexandria via LeMat-Bulk.

Cell: 6.971 6.971 6.971 Å, 72.15 72.15 72.15°
Atoms (fractional coordinates):
La 0.157 0.358 0.710
La 0.710 0.157 0.358
La 0.358 0.710 0.157
La 0.210 0.858 0.657
La 0.858 0.657 0.210
La 0.657 0.210 0.858
Ru 0.528 0.528 0.528
Ru 0.028 0.028 0.028
Hg 0.228 0.228 0.228
Hg 0.728 0.728 0.728

Calculated values
* Fermi-level density of states: 9.6 states/eV per cell
* size of the total moment: 0.0 μB per cell
* symmetry: R3c

S | The following is a PBE calculation of a relaxed structure of La3HgRu, from Alexandria via LeMat-Bulk.

Cell: 7.803 6.216 6.058 Å, 89.99 90.00 90.36°
Atoms (fractional coordinates):
Ru 0.739 0.346 0.296
Ru 0.739 0.346 0.796
Hg 0.238 0.026 0.046
Hg 0.240 0.667 0.546
La 0.455 0.521 0.046
La 0.743 0.706 0.546
La 0.735 0.986 0.046
La 0.025 0.524 0.046
La 0.023 0.171 0.546
La 0.453 0.169 0.546

Calculated values
* Fermi-level density of states: 9.5 states/eV per cell
* size of the total moment: 0.0 μB per cell
* symmetry: P2_1/m

Stability ranking, top entry: S; the second entry is 19 meV per atom less favorable.